A plane-wave DFT calculation with PBE was carried out for an optimized crystal structure of Pm2ThCd.

- Space-group type: Fm-3m, No. 225
- Uncorrected energy: -0.16113 Ha/atom
- Theoretical density: 8.7 g/cm³
- Formation enthalpy at 0 K: 0.30 eV/f.u.
- Crystal system: cubic
- Polymorph energy (0 for the lowest one): 0.2402 eV per atom

Cell: 5.559 5.559 5.559 Å, 60.00 60.00 60.00°
Element x y z (fractional)
Cd  0.500  0.500  0.500
Th  0.000  0.000  0.000
Pm  0.250  0.250  0.250
Pm  0.750  0.750  0.750